Compound: Li3LaZr
Source: Alexandria
Functional: GGA-PBEsol
Structure: optimized geometry

## Properties
Its total energy is -2.79 eV/atom. For the size of the total moment, the calculation gives 1.73 μB/cell. As for the density of states at the Fermi level: 4.72 states/eV/f.u.

Cell lengths 4.850, 4.850, 4.850 Å; angles 90.00, 90.00, 90.00 degrees
Last column: magnetic moment on the atom in μB.
Element x y z (fractional)
La  0.000  0.000  0.000  0.17
Zr  0.500  0.500  0.500  0.62
Li  0.500  0.000  0.000  0.02
Li  0.000  0.000  0.500  0.02
Li  0.000  0.500  0.000  0.02